No. 1
Compound: NaLi2Ti
Source: Alexandria
Functional: PBE
Structure: relaxed

Output
Total magnetization in μB per formula unit: 2.84
E in eV per atom: -2.66
Energy above the lowest structure with this stoichiometry in eV/atom: 0.269
Mass density in g/cm³: 1.571

Structure (POSCAR):
```
NaLi2Ti
1.0
0.000 3.551 3.551
3.551 0.000 3.551
3.551 3.551 0.000
Na Li Ti
1 2 1
Direct
0.000 0.000 0.000 Na
0.250 0.250 0.250 Li
0.750 0.750 0.750 Li
0.500 0.500 0.500 Ti
```


No. 2
Compound: NaLiTi2
Source: Alexandria
Functional: PBE
Structure: relaxed

Output
Total magnetization in μB per formula unit: 0.00
E in eV per atom: -3.90
Energy above the lowest structure with this stoichiometry in eV/atom: 0.000
Mass density in g/cm³: 2.745

Structure (POSCAR):
```
NaLiTi2
1.0
-3.900 3.900 2.500
3.900 -3.900 2.500
3.900 3.900 -2.500
Na Li Ti
2 2 4
Direct
0.000 0.000 0.000 Na
0.750 0.250 0.500 Na
0.250 0.750 0.500 Li
0.500 0.500 0.000 Li
0.132 0.625 0.007 Ti
0.375 0.382 0.507 Ti
0.618 0.125 0.993 Ti
0.875 0.868 0.493 Ti
```


No. 3
Compound: NaLiTi2
Source: Alexandria
Functional: PBE
Structure: relaxed

Output
Total magnetization in μB per formula unit: 1.67
E in eV per atom: -3.88
Energy above the lowest structure with this stoichiometry in eV/atom: 0.016
Mass density in g/cm³: 2.730

Structure (POSCAR):
```
NaLiTi2
1.0
0.000 3.369 3.369
3.369 0.000 3.369
3.369 3.369 0.000
Na Li Ti
1 1 2
Direct
0.000 0.000 0.000 Na
0.500 0.500 0.500 Li
0.250 0.250 0.250 Ti
0.750 0.750 0.750 Ti
```


No. 4
Compound: NaLi2Ti
Source: Alexandria
Functional: PBE
Structure: relaxed

Output
Total magnetization in μB per formula unit: 2.80
E in eV per atom: -2.58
Energy above the lowest structure with this stoichiometry in eV/atom: 0.346
Mass density in g/cm³: 1.576

Structure (POSCAR):
```
NaLi2Ti
1.0
-3.794 3.794 3.101
3.794 -3.794 3.101
3.794 3.794 -3.101
Na Li Ti
2 4 2
Direct
0.000 0.000 0.000 Na
0.750 0.250 0.500 Na
0.117 0.625 0.992 Li
0.375 0.367 0.492 Li
0.633 0.125 0.008 Li
0.875 0.883 0.508 Li
0.250 0.750 0.500 Ti
0.500 0.500 0.000 Ti
```


No. 5
Compound: NaLi2Ti
Source: Alexandria
Functional: PBE
Structure: relaxed

Output
Total magnetization in μB per formula unit: 0.00
E in eV per atom: -2.93
Energy above the lowest structure with this stoichiometry in eV/atom: 0.000
Mass density in g/cm³: 1.716

Structure (POSCAR):
```
NaLi2Ti
1.0
1.440 0.831 11.425
-1.440 0.831 11.425
0.000 -1.662 11.425
Na Li Ti
1 2 1
Direct
0.000 0.000 0.000 Na
0.420 0.420 0.420 Li
0.580 0.580 0.580 Li
0.500 0.500 0.500 Ti
```


No. 6
Compound: NaLi3Ti
Source: Alexandria
Functional: PBE
Structure: relaxed

Output
Total magnetization in μB per formula unit: 3.32
E in eV per atom: -2.16
Energy above the lowest structure with this stoichiometry in eV/atom: 0.000
Mass density in g/cm³: 0.993

Structure (POSCAR):
```
NaLi3Ti
1.0
5.352 0.000 0.000
0.000 5.352 0.000
0.000 0.000 5.352
Na Li Ti
1 3 1
Direct
0.000 0.000 0.000 Na
0.000 0.500 0.500 Li
0.500 0.000 0.500 Li
0.500 0.500 0.000 Li
0.500 0.500 0.500 Ti
```


No. 7
Compound: Na2LiTl6
Source: Alexandria
Functional: PBE
Structure: relaxed

Output
Total magnetization in μB per formula unit: 0.00
E in eV per atom: -2.13
Mass density in g/cm³: 8.193

Structure (POSCAR):
```
Na2LiTl6
1.0
7.153 -3.607 0.000
7.153 3.607 0.000
-0.008 0.000 5.024
Na Li Tl
2 1 6
Direct
0.222 0.222 0.001 Na
0.778 0.778 0.999 Na
0.000 0.000 0.500 Li
0.142 0.577 0.500 Tl
0.272 0.728 0.000 Tl
0.423 0.858 0.500 Tl
0.577 0.142 0.500 Tl
0.728 0.272 0.000 Tl
0.858 0.423 0.500 Tl
```


No. 8
Compound: Na4LiTl4
Source: Alexandria
Functional: PBE
Structure: relaxed

Output
Total magnetization in μB per formula unit: 0.00
E in eV per atom: -1.94
Energy above the lowest structure with this stoichiometry in eV/atom: 0.003
Mass density in g/cm³: 6.133

Structure (POSCAR):
```
Na4LiTl4
1.0
-4.946 4.946 2.536
4.946 -4.946 2.536
4.946 4.946 -2.536
Na Li Tl
4 1 4
Direct
0.168 0.168 0.335 Na
0.168 0.832 0.000 Na
0.832 0.168 0.000 Na
0.832 0.832 0.665 Na
0.500 0.500 0.000 Li
0.172 0.500 0.672 Tl
0.500 0.172 0.672 Tl
0.500 0.828 0.328 Tl
0.828 0.500 0.328 Tl
```


No. 9
Compound: Na12LiTl7
Source: Alexandria
Functional: PBE
Structure: relaxed

Output
Total magnetization in μB per formula unit: 0.00
E in eV per atom: -1.81
Mass density in g/cm³: 4.664

Structure (POSCAR):
```
Na12LiTl7
1.0
7.251 4.186 3.350
-7.251 4.186 3.350
0.000 -8.372 3.350
Na Li Tl
12 1 7
Direct
0.022 0.699 0.142 Na
0.142 0.022 0.699 Na
0.174 0.460 0.637 Na
0.301 0.858 0.978 Na
0.363 0.826 0.540 Na
0.460 0.637 0.174 Na
0.540 0.363 0.826 Na
0.637 0.174 0.460 Na
0.699 0.142 0.022 Na
0.826 0.540 0.363 Na
0.858 0.978 0.301 Na
0.978 0.301 0.858 Na
0.500 0.500 0.500 Li
0.000 0.000 0.000 Tl
0.134 0.404 0.262 Tl
0.262 0.134 0.404 Tl
0.404 0.262 0.134 Tl
0.596 0.738 0.866 Tl
0.738 0.866 0.596 Tl
0.866 0.596 0.738 Tl
```


No. 10
Compound: Na2Li2Tl3
Source: Alexandria
Functional: PBE
Structure: relaxed

Output
Total magnetization in μB per formula unit: 0.00
E in eV per atom: -2.06
Mass density in g/cm³: 6.163

Structure (POSCAR):
```
Na2Li2Tl3
1.0
5.255 -2.436 0.000
5.255 2.436 0.000
-3.030 0.000 7.083
Na Li Tl
2 2 3
Direct
0.135 0.135 0.263 Na
0.865 0.865 0.737 Na
0.141 0.141 0.687 Li
0.859 0.859 0.313 Li
0.368 0.368 0.059 Tl
0.500 0.500 0.500 Tl
0.632 0.632 0.941 Tl
```


No. 11
Compound: Na2LiTl7
Source: Alexandria
Functional: PBE
Structure: relaxed

Output
Total magnetization in μB per formula unit: 0.00
E in eV per atom: -2.00
Mass density in g/cm³: 7.134

Structure (POSCAR):
```
Na2LiTl7
1.0
0.000 5.568 5.568
5.568 0.000 5.568
5.568 5.568 0.000
Na Li Tl
2 1 7
Direct
0.250 0.250 0.250 Na
0.750 0.750 0.750 Na
0.000 0.000 0.000 Li
0.234 0.234 0.766 Tl
0.234 0.766 0.234 Tl
0.234 0.766 0.766 Tl
0.500 0.500 0.500 Tl
0.766 0.234 0.234 Tl
0.766 0.234 0.766 Tl
0.766 0.766 0.234 Tl
```


| no. | formation energy (eV per atom) |
| --- | --- |
| 1 | 0.6028 |
| 2 | 0.8573 |
| 3 | 0.8730 |
| 4 | 0.6799 |
| 5 | 0.3342 |
| 6 | 0.8296 |
| 7 | -0.0496 |
| 8 | -0.0888 |
| 9 | -0.0955 |
| 10 | -0.1231 |
| 11 | 0.1139 |